Here is crystalline TlCo2Tc at its relaxed geometry from Alexandria. Energies are from PBEsol.

The structure in CIF format:
```
data_TlCo2Tc
_chemical_formula_sum 'Tl2 Co4 Tc2'
_space_group_name_H-M_alt 'C m m m'
_space_group_IT_number 65
_space_group_name_Hall '-C 2 2'
_cell_length_a 5.5211
_cell_length_b 7.1076
_cell_length_c 2.7614
_cell_angle_alpha 90.00
_cell_angle_beta 90.00
_cell_angle_gamma 90.00
loop_
_atom_site_label
_atom_site_fract_x
_atom_site_fract_y
_atom_site_fract_z
Tl1 0.0000 0.0000 0.0000
Co1 0.2500 0.2500 0.5000
Tc1 0.0000 0.5000 0.0000
```

Summary:
relative energy among the computed polymorphs: 88.8 meV per atom
total moment: 0.73 μB/cell
DFT formation energy: 215 kJ/mol of formula units
V: 108.4 Å³ per cell

=====

Here is crystalline MnCdAgMo2 at its relaxed geometry from Alexandria. Energies are from PBEsol.

The structure in CIF format:
```
data_MnCdAgMo2
_chemical_formula_sum 'Mn1 Cd1 Ag1 Mo2'
_space_group_name_H-M_alt 'P 4/m m m'
_space_group_IT_number 123
_space_group_name_Hall '-P 4 2'
_cell_length_a 4.3430
_cell_length_b 4.3430
_cell_length_c 4.8609
_cell_angle_alpha 90.00
_cell_angle_beta 90.00
_cell_angle_gamma 90.00
loop_
_atom_site_label
_atom_site_fract_x
_atom_site_fract_y
_atom_site_fract_z
Mn1 0.0000 0.0000 0.0000
Cd1 0.0000 0.0000 0.5000
Ag1 0.5000 0.5000 0.5000
Mo1 0.0000 0.5000 0.0000
```

Summary:
total moment: 0.00 μB/cell
DFT formation energy: 565 kJ/mol of formula units
V: 91.7 Å³ per cell

=====

Here is crystalline Mn3AgCl at its relaxed geometry from Alexandria. Energies are from PBEsol.

The structure in CIF format:
```
data_Mn3AgCl
_chemical_formula_sum 'Mn3 Ag1 Cl1'
_space_group_name_H-M_alt 'P m -3 m'
_space_group_IT_number 221
_space_group_name_Hall '-P 4 2 3'
_cell_length_a 4.2222
_cell_length_b 4.2222
_cell_length_c 4.2222
_cell_angle_alpha 90.00
_cell_angle_beta 90.00
_cell_angle_gamma 90.00
loop_
_atom_site_label
_atom_site_fract_x
_atom_site_fract_y
_atom_site_fract_z
Mn1 0.0000 0.0000 0.5000
Ag1 0.5000 0.5000 0.5000
Cl1 0.0000 0.0000 0.0000
```

Summary:
formation energy without anion corrections: 16.79 kcal/mol of atoms
total moment: 9.03 μB/cell
V: 75.3 Å³ per cell

=====

Here is crystalline LiCdAg2 at its relaxed geometry from Alexandria. Energies are from PBEsol.

The structure in CIF format:
```
data_LiCdAg2
_chemical_formula_sum 'Li3 Cd3 Ag6'
_space_group_name_H-M_alt 'R 3 m'
_space_group_IT_number 160
_space_group_name_Hall 'R 3 -2"'
_cell_length_a 2.9263
_cell_length_b 2.9263
_cell_length_c 27.7922
_cell_angle_alpha 90.00
_cell_angle_beta 90.00
_cell_angle_gamma 120.00
loop_
_atom_site_label
_atom_site_fract_x
_atom_site_fract_y
_atom_site_fract_z
Li1 0.0000 0.0000 0.0000
Cd1 0.0000 0.0000 0.2477
Ag1 0.0000 0.0000 0.4941
Ag2 0.0000 0.0000 0.7441
```

Summary:
total moment: 0.00 μB/cell
DFT formation energy: -35 kJ/mol of formula units
V: 206.1 Å³ per cell

=====

Here is crystalline MgGeP2 at its relaxed geometry from Alexandria. Energies are from PBEsol.

The structure in CIF format:
```
data_MgGeP2
_chemical_formula_sum 'Mg4 Ge4 P8'
_space_group_name_H-M_alt 'I -4 2 d'
_space_group_IT_number 122
_space_group_name_Hall 'I -4 2bw'
_cell_length_a 5.7740
_cell_length_b 5.7740
_cell_length_c 10.5194
_cell_angle_alpha 90.00
_cell_angle_beta 90.00
_cell_angle_gamma 90.00
loop_
_atom_site_label
_atom_site_fract_x
_atom_site_fract_y
_atom_site_fract_z
Mg1 0.0000 0.0000 0.0000
Ge1 0.0000 0.0000 0.5000
P1 0.2195 0.2500 0.6250
```

Summary:
relative energy among the computed polymorphs: 0.0 meV per atom
total moment: 0.00 μB/cell
DFT formation energy: -107 kJ/mol of formula units
V: 350.7 Å³ per cell

=====

Here is crystalline Ca5Tl3 at its relaxed geometry from Alexandria. Energies are from PBEsol.

The structure in CIF format:
```
data_Ca5Tl3
_chemical_formula_sum 'Ca10 Tl6'
_space_group_name_H-M_alt 'P 63/m c m'
_space_group_IT_number 193
_space_group_name_Hall '-P 6c 2'
_cell_length_a 9.4398
_cell_length_b 9.4398
_cell_length_c 6.4875
_cell_angle_alpha 90.00
_cell_angle_beta 90.00
_cell_angle_gamma 120.00
loop_
_atom_site_label
_atom_site_fract_x
_atom_site_fract_y
_atom_site_fract_z
Ca1 0.0000 0.2658 0.2500
Ca2 0.3333 0.6667 0.0000
Tl1 0.0000 0.3912 0.7500
```

Summary:
relative energy among the computed polymorphs: 0.0 meV per atom
total moment: 0.00 μB/cell
DFT formation energy: -304 kJ/mol of formula units
V: 500.6 Å³ per cell

=====

Here is crystalline LiNiRh2 at its relaxed geometry from Alexandria. Energies are from PBEsol.

The structure in CIF format:
```
data_LiNiRh2
_chemical_formula_sum 'Li1 Ni1 Rh2'
_space_group_name_H-M_alt 'P m m 2'
_space_group_IT_number 25
_cell_length_a 2.6054
_cell_length_b 3.7497
_cell_length_c 5.0178
_cell_angle_alpha 90.00
_cell_angle_beta 90.00
_cell_angle_gamma 90.00
loop_
_space_group_symop_operation_xyz
'x,y,z'
'-x,-y,z'
'-x,y,z'
'x,-y,z'
loop_
_atom_site_label
_atom_site_fract_x
_atom_site_fract_y
_atom_site_fract_z
Li1 0.0000 0.0000 0.0000
Ni1 0.5000 0.5000 0.2377
Rh1 0.0000 0.0000 0.4899
Rh2 0.5000 0.5000 0.7400
```

Summary:
relative energy among the computed polymorphs: 39.0 meV per atom
total moment: 0.00 μB/cell
DFT formation energy: 7 kJ/mol of formula units
V: 49.0 Å³ per cell

=====

Here is crystalline Y2TcAu at its relaxed geometry from Alexandria. Energies are from PBEsol.

The structure in CIF format:
```
data_Y2TcAu
_chemical_formula_sum 'Y2 Tc1 Au1'
_space_group_name_H-M_alt 'P 4 m m'
_space_group_IT_number 99
_cell_length_a 3.8094
_cell_length_b 3.8094
_cell_length_c 5.9979
_cell_angle_alpha 90.00
_cell_angle_beta 90.00
_cell_angle_gamma 90.00
loop_
_space_group_symop_operation_xyz
'x,y,z'
'-y,x,z'
'-x,-y,z'
'y,-x,z'
'-x,y,z'
'y,x,z'
'x,-y,z'
'-y,-x,z'
loop_
_atom_site_label
_atom_site_fract_x
_atom_site_fract_y
_atom_site_fract_z
Y1 0.0000 0.0000 0.0000
Y2 0.5000 0.5000 0.3606
Tc1 0.5000 0.5000 0.8427
Au1 0.0000 0.0000 0.5325
```

Summary:
total moment: 0.00 μB/cell
DFT formation energy: -17 kJ/mol of formula units
V: 87.0 Å³ per cell